A plane-wave DFT calculation with GGA+U was carried out for an optimized crystal structure of Li4NiF7.

Output
As for the space group: Cm (8). The energy comes out at -4.43 eV/atom.

Cell: 2.904 5.061 10.045 Å, 110.50 90.00 106.67°
Each line ends with the local moment (μB).
Atoms (fractional coordinates):
Li 0.304 0.607 0.130  0.00
F 0.306 0.611 0.638  0.20
F 0.492 0.984 0.506  0.15
F 0.945 0.890 0.208  0.01
Li 0.691 0.383 0.878  0.00
F 0.736 0.472 0.405  0.12
F 0.056 0.112 0.752  0.17
F 0.335 0.670 0.947  0.02
Ni 0.901 0.803 0.579  2.28
Li 0.099 0.199 0.373  0.00
Li 0.992 0.984 0.032  0.00
F 0.642 0.284 0.051  0.01